A geometry-optimized Ho3Er6Tm structure, computed with PBE-GGA.

Unit cell a=10.859 b=18.723 c=6.107 alpha=90.00 beta=90.00 gamma=90.00
Space group Cmc2_1 (No. 36)
Inequivalent atoms, fractional coordinates:
1 Ho 0.000 0.109 0.000 x4
2 Ho 0.170 0.391 0.387 x8
3 Er 0.000 0.217 0.572 x4
4 Er 0.000 0.452 0.852 x4
5 Er 0.165 0.047 0.464 x8
6 Er 0.249 0.210 0.290 x8
7 Tm 0.000 0.292 0.079 x4

Calculated volume = 31.0 Å³/atom
Total moment = 0.0 μB/f.u.
Energy relative to the elements = 0.149 eV/atom
Crystal system = orthorhombic
Polymorph energy (0 for the lowest one) = 0.250 eV per formula unit
DFT total energy = -176.4 eV for the cell shown